Entry 1:
{"formula": "La2Pr3Ho8", "functional": "PBE", "state": "relaxed", "dos_at_fermi_per_ev_cell": 23.9, "ef_ev_per_atom": 0.256, "energy_ev_per_cell": -57.488, "lattice": [[-5.453, -1.113, -0.608], [-0.290, -2.558, 7.280], [-2.204, 10.967, -0.331]], "species": ["La", "La", "Pr", "Pr", "Pr", "Ho", "Ho", "Ho", "Ho", "Ho", "Ho", "Ho", "Ho"], "fractional_positions": [[0.500, 0.241, 0.483], [0.500, 0.759, 0.517], [0.500, 0.000, 0.000], [0.000, 0.295, 0.000], [0.000, 0.705, 0.000], [0.000, 0.661, 0.322], [0.000, 0.339, 0.678], [0.000, 0.128, 0.256], [0.000, 0.872, 0.744], [0.500, 0.604, 0.785], [0.500, 0.181, 0.785], [0.500, 0.819, 0.215], [0.500, 0.396, 0.215]]}


Entry 2:
{"formula": "CaHfSb", "functional": "PBE", "state": "relaxed", "dos_at_fermi_per_ev_cell": 2.3, "energy_ev_per_cell": -36.197, "formation_energy_uncorrected_ev_per_atom": -0.674, "lattice": [[-1.922, -1.359, -3.672], [3.673, 0.789, -2.215], [2.590, -7.780, 1.523]], "species": ["Ca", "Ca", "Sb", "Sb", "Hf", "Hf"], "fractional_positions": [[0.000, 0.500, 0.843], [0.500, 0.000, 0.157], [0.000, 0.500, 0.243], [0.500, 0.000, 0.757], [0.500, 0.500, 0.500], [0.000, 0.000, 0.500]]}


Entry 3:
{"formula": "Y2Ho5Er5", "functional": "PBE", "state": "relaxed", "dos_at_fermi_per_ev_cell": 16.1, "ef_ev_per_atom": 0.023, "energy_ev_per_cell": -58.353, "lattice": [[-0.778, 2.679, 2.145], [-8.672, 2.037, -2.803], [-11.102, -5.529, 5.765]], "species": ["Y", "Y", "Ho", "Ho", "Ho", "Ho", "Ho", "Er", "Er", "Er", "Er", "Er"], "fractional_positions": [[0.916, 0.417, 0.750], [0.084, 0.583, 0.250], [0.500, 0.500, 0.500], [0.333, 0.333, 0.002], [0.416, 0.918, 0.250], [0.584, 0.082, 0.750], [0.667, 0.667, 0.998], [0.833, 0.834, 0.500], [0.249, 0.752, 0.749], [0.751, 0.248, 0.251], [0.167, 0.166, 0.500], [0.000, 0.000, 0.000]]}


Entry 4:
{"formula": "Li2PuAsO6", "functional": "PBE", "state": "relaxed", "dos_at_fermi_per_ev_cell": 6.7, "energy_ev_per_cell": -71.270, "formation_energy_uncorrected_ev_per_atom": -1.871, "lattice": [[4.253, 0.000, 0.000], [0.000, 5.526, 0.000], [0.000, 0.000, 5.526]], "species": ["Li", "Li", "Pu", "As", "O", "O", "O", "O", "O", "O"], "fractional_positions": [[0.940, 0.500, 0.000], [0.940, 0.000, 0.500], [0.658, 0.500, 0.500], [0.614, 0.000, 0.000], [0.726, 0.230, 0.230], [0.726, 0.230, 0.770], [0.173, 0.500, 0.500], [0.219, 0.000, 0.000], [0.726, 0.770, 0.770], [0.726, 0.770, 0.230]]}


Entry 5:
{"formula": "CaPr2Nd4", "functional": "PBE", "state": "relaxed", "dos_at_fermi_per_ev_cell": 10.7, "ef_ev_per_atom": 0.024, "energy_ev_per_cell": -30.464, "lattice": [[3.709, 0.000, 0.000], [1.854, 3.212, 0.000], [1.854, 1.071, 21.374]], "species": ["Ca", "Pr", "Pr", "Nd", "Nd", "Nd", "Nd"], "fractional_positions": [[0.000, 0.000, 0.000], [0.429, 0.429, 0.712], [0.571, 0.571, 0.288], [0.143, 0.143, 0.570], [0.283, 0.283, 0.150], [0.717, 0.717, 0.850], [0.857, 0.857, 0.430]]}


Entry 6:
{"formula": "Sm4Tl2Sn", "functional": "PBE", "state": "relaxed", "dos_at_fermi_per_ev_cell": 13.2, "ef_ev_per_atom": -0.427, "energy_ev_per_cell": -61.208, "lattice": [[8.156, -1.095, -0.132], [-1.674, 8.064, 0.122], [-3.150, -3.572, 6.722]], "species": ["Sm", "Sm", "Sm", "Sm", "Sm", "Sm", "Sm", "Sm", "Tl", "Tl", "Tl", "Tl", "Sn", "Sn"], "fractional_positions": [[0.021, 0.271, 0.393], [0.372, 0.479, 0.250], [0.878, 0.628, 0.608], [0.729, 0.122, 0.750], [0.372, 0.979, 0.250], [0.229, 0.122, 0.750], [0.521, 0.771, 0.893], [0.878, 0.628, 0.107], [0.504, 0.375, 0.629], [0.746, 0.875, 0.371], [0.625, 0.254, 0.129], [0.125, 0.496, 0.871], [0.250, 0.750, 0.500], [0.000, 0.000, 0.000]]}


Entry 7:
{"formula": "Sr2PbW", "functional": "PBE", "state": "relaxed", "dos_at_fermi_per_ev_cell": 2.4, "ef_ev_per_atom": 0.668, "energy_ev_per_cell": -17.353, "lattice": [[6.527, -0.007, -0.002], [2.937, 5.829, 0.002], [-4.197, -3.780, 3.270]], "species": ["Pb", "Sr", "Sr", "W"], "fractional_positions": [[0.288, 0.788, 0.500], [0.022, 0.022, 0.000], [0.728, 0.228, 0.500], [0.462, 0.462, 0.000]]}


Entry 8:
{"formula": "Tl2In17", "functional": "PBE", "state": "relaxed", "dos_at_fermi_per_ev_cell": 7.7, "ef_ev_per_atom": 0.057, "energy_ev_per_cell": -50.205, "lattice": [[8.366, 0.283, 0.250], [1.466, 8.241, 0.250], [1.466, 1.271, 8.146]], "species": ["Tl", "Tl", "In", "In", "In", "In", "In", "In", "In", "In", "In", "In", "In", "In", "In", "In", "In", "In", "In"], "fractional_positions": [[0.313, 0.313, 0.313], [0.687, 0.687, 0.687], [0.617, 0.617, 0.153], [0.153, 0.617, 0.617], [0.899, 0.899, 0.899], [0.101, 0.101, 0.101], [0.000, 0.000, 0.500], [0.000, 0.500, 0.000], [0.500, 0.000, 0.000], [0.294, 0.706, 0.000], [0.706, 0.000, 0.294], [0.000, 0.294, 0.706], [0.706, 0.294, 0.000], [0.294, 0.000, 0.706], [0.000, 0.706, 0.294], [0.847, 0.383, 0.383], [0.383, 0.383, 0.847], [0.383, 0.847, 0.383], [0.617, 0.153, 0.617]]}


Asked for size of the total moment across the records above, the calculation gives 0.00 0.00 0.00 3.00 0.00 0.00 1.88 0.00 Bohr magnetons per cell in order.